No. 1
Sr2ScTl | PBEsol | relaxed

Lattice parameters (Å, degrees): 8.0577 8.0577 8.0577 90.00 90.00 90.00
Space group Fm-3m (No. 225)
One atom of each set of equivalent atoms:
Sr1 0.2500 0.2500 0.2500
Sc1 0.0000 0.0000 0.0000
Tl1 0.0000 0.0000 0.5000

* ΔE to the lowest computed polymorph: 134 meV/atom
* E_form: 0.05 eV/atom
* V: 32.7 Å³ per atom

=====

No. 2
Ba2InAg | PBEsol | relaxed

Lattice parameters (Å, degrees): 3.9948 3.9948 8.5964 90.00 90.00 90.00
Space group P4/mmm (No. 123)
One atom of each set of equivalent atoms:
Ba1 0.0000 0.0000 0.2363
In1 0.5000 0.5000 0.5000
Ag1 0.5000 0.5000 0.0000

* E_form: -0.29 eV/atom
* V: 34.3 Å³ per atom

=====

No. 3
MgBeHg2Mo | PBEsol | relaxed

Lattice parameters (Å, degrees): 4.4877 4.4877 4.3751 90.00 90.00 90.00
Space group P4/mmm (No. 123)
One atom of each set of equivalent atoms:
Mg1 0.0000 0.0000 0.0000
Be1 0.5000 0.5000 0.5000
Hg1 0.0000 0.5000 0.5000
Mo1 0.5000 0.5000 0.0000

* E_form: 0.47 eV/atom
* V: 17.6 Å³ per atom

=====

No. 4
AlW2Au | PBEsol | relaxed

Lattice parameters (Å, degrees): 2.7859 4.3173 5.2917 90.00 98.71 90.00
Space group Pm (No. 6)
One atom of each set of equivalent atoms:
Al1 0.0000 0.0000 0.0000
W1 0.3933 0.5000 0.7593
W2 0.6119 0.0000 0.5126
Au1 0.0377 0.5000 0.2453

* E_form: 0.08 eV/atom
* V: 15.7 Å³ per atom

=====

Sequential final energy output: -0.2336; -0.2157; -0.2392; -0.6491 Ry/atom